[1]
# GGA-PBE Pr2YTl2Zn2, relaxed
data_Pr2YTl2Zn2
_symmetry_space_group_name_H-M 'R -3 m'
_symmetry_Int_Tables_number 166
_symmetry_space_group_name_Hall '-R 3 2"'
_cell_length_a 4.7656
_cell_length_b 4.7656
_cell_length_c 28.8177
_cell_angle_alpha 90.00
_cell_angle_beta 90.00
_cell_angle_gamma 120.00
loop_
_atom_site_label
_atom_site_type_symbol
_atom_site_fract_x
_atom_site_fract_y
_atom_site_fract_z
_atom_site_occupancy
Pr1 Pr 0.0000 0.0000 0.1255 1
Y1 Y 0.0000 0.0000 0.0000 1
Tl1 Tl 0.0000 0.0000 0.2672 1
Zn1 Zn 0.0000 0.0000 0.3885 1
# * DOS(E_F): 11.94 states/eV per cell
# * size of the total moment: 0.000 μB/atom
# * ΔE_f: -192.4 meV/atom

[2]
# GGA-PBE Pr12Tl5Zn2, relaxed
data_Pr12Tl5Zn2
_symmetry_space_group_name_H-M 'C 1 2/m 1'
_symmetry_Int_Tables_number 12
_symmetry_space_group_name_Hall '-C 2y'
_cell_length_a 17.810
_cell_length_b 7.406
_cell_length_c 9.337
_cell_angle_alpha 90.00
_cell_angle_beta 96.03
_cell_angle_gamma 90.00
loop_
_atom_site_label
_atom_site_type_symbol
_atom_site_fract_x
_atom_site_fract_y
_atom_site_fract_z
_atom_site_occupancy
Pr1 Pr 0.000 0.000 0.196 1
Pr2 Pr 0.031 0.500 0.681 1
Pr3 Pr 0.153 0.252 0.010 1
Pr4 Pr 0.160 0.252 0.441 1
Tl1 Tl 0.000 0.500 0.000 1
Tl2 Tl 0.205 0.000 0.743 1
Tl3 Tl 0.225 0.500 0.747 1
Zn1 Zn 0.000 0.165 0.500 1
# * DOS(E_F): 43.08 states/eV per cell
# * size of the total moment: 0.000 μB/atom
# * ΔE_f: -165.7 meV/atom